VASP calculation (PBE-GGA) on crystalline Lu2Si2W at its relaxed geometry.

```
Lu2Si2W
1.0
5.6330 -1.9644 0.0000
5.6330 1.9644 0.0000
-4.7931 0.0000 8.7948
Lu Si W
4 4 2
direct
0.0191 0.0191 0.1867 Lu
0.1846 0.1846 0.6115 Lu
0.8154 0.8154 0.3885 Lu
0.9809 0.9809 0.8133 Lu
0.3781 0.3781 0.9458 Si
0.4966 0.4966 0.6203 Si
0.5034 0.5034 0.3797 Si
0.6219 0.6219 0.0542 Si
0.2761 0.2761 0.1248 W
0.7239 0.7239 0.8752 W
```

Computed properties:
calculated total energy = -0.2626 hartree per atom
calculated density = 10.07 g/cm³